Entry from Alexandria: a geometry-optimized Er4CuS3 structure (PBE-GGA).

a b c (Å): 3.818 6.812 6.812
angles (deg): 108.70 90.00 90.00
Fractional coordinates of all 8 atoms:
Er1 0.000 0.248 0.248
Cu1 0.500 0.000 0.000
Er2 0.000 0.752 0.752
S1 0.500 0.500 0.500
Er3 0.500 0.250 0.750
S2 0.000 0.500 0.000
Er4 0.500 0.750 0.250
S3 0.000 0.000 0.500

## Properties
Crystal system   orthorhombic
E_form (uncorrected)   -1.510 eV/atom
Raw total energy   -5.851 eV/atom
Total moment   0.000 Bohr magnetons per cell